[1]
Material: Tb6Pr3ErTm2
Method: DFT, GGA-PBE
State: relaxed

Structure (CIF):
```
data_Tb6Pr3ErTm2
_cell_length_a 6.210
_cell_length_b 10.754
_cell_length_c 11.866
_cell_angle_alpha 90.00
_cell_angle_beta 100.04
_cell_angle_gamma 90.00
_symmetry_space_group_name_H-M 'C 1 2/m 1'
_symmetry_Int_Tables_number 12
_symmetry_space_group_name_Hall '-C 2y'
loop_
_atom_site_label
_atom_site_fract_x
_atom_site_fract_y
_atom_site_fract_z
Tb1 0.248 0.000 0.244
Tb2 0.248 0.333 0.244
Pr1 0.000 0.000 0.500
Pr2 0.000 0.333 0.500
Er1 0.000 0.500 0.000
Tm1 0.000 0.167 0.000
```

Properties
formation energy from the elements	21.6	meV/atom
Fermi-level density of states	32.3	states/eV per cell
magnetic moment	0.00	μB/atom


[2]
Material: TbPrErTm3
Method: DFT, GGA-PBE
State: relaxed

Structure (CIF):
```
data_TbPrErTm3
_cell_length_a 5.709
_cell_length_b 11.760
_cell_length_c 11.342
_cell_angle_alpha 90.00
_cell_angle_beta 90.00
_cell_angle_gamma 90.00
_symmetry_space_group_name_H-M 'C m c m'
_symmetry_Int_Tables_number 63
_symmetry_space_group_name_Hall '-C 2c 2'
loop_
_atom_site_label
_atom_site_fract_x
_atom_site_fract_y
_atom_site_fract_z
Tb1 0.000 0.000 0.000
Pr1 0.000 0.480 0.250
Er1 0.000 0.174 0.250
Tm1 0.000 0.155 0.750
Tm2 0.000 0.325 0.518
```

Properties
formation energy from the elements	121.2	meV/atom
Fermi-level density of states	45.0	states/eV per cell
magnetic moment	0.00	μB/atom


[3]
Material: Tb3Pr6ErTm2
Method: DFT, GGA-PBE
State: relaxed

Structure (CIF):
```
data_Tb3Pr6ErTm2
_cell_length_a 6.297
_cell_length_b 10.905
_cell_length_c 11.853
_cell_angle_alpha 90.00
_cell_angle_beta 100.18
_cell_angle_gamma 90.00
_symmetry_space_group_name_H-M 'C 1 2/m 1'
_symmetry_Int_Tables_number 12
_symmetry_space_group_name_Hall '-C 2y'
loop_
_atom_site_label
_atom_site_fract_x
_atom_site_fract_y
_atom_site_fract_z
Tb1 0.000 0.000 0.000
Tb2 0.000 0.333 0.000
Pr1 0.249 0.000 0.748
Pr2 0.250 0.167 0.252
Er1 0.000 0.500 0.500
Tm1 0.000 0.167 0.500
```

Properties
formation energy from the elements	13.0	meV/atom
Fermi-level density of states	25.6	states/eV per cell
magnetic moment	0.00	μB/atom


[4]
Material: Tb4Pr2ErTm
Method: DFT, GGA-PBE
State: relaxed

Structure (CIF):
```
data_Tb4Pr2ErTm
_cell_length_a 13.677
_cell_length_b 13.266
_cell_length_c 6.827
_cell_angle_alpha 90.00
_cell_angle_beta 119.92
_cell_angle_gamma 90.00
_symmetry_space_group_name_H-M 'C 1 2/c 1'
_symmetry_Int_Tables_number 15
_symmetry_space_group_name_Hall '-C 2yc'
loop_
_atom_site_label
_atom_site_fract_x
_atom_site_fract_y
_atom_site_fract_z
Tb1 0.001 0.244 0.002
Tb2 0.245 0.003 0.493
Pr1 0.000 0.500 0.000
Pr2 0.250 0.250 0.000
Er1 0.250 0.250 0.500
Tm1 0.000 0.000 0.000
```

Properties
formation energy from the elements	415.4	meV/atom
Fermi-level density of states	77.4	states/eV per cell
magnetic moment	0.16	μB/atom


[5]
Material: Tb6Pr2Er3Tm
Method: DFT, GGA-PBE
State: relaxed

Structure (CIF):
```
data_Tb6Pr2Er3Tm
_cell_length_a 6.176
_cell_length_b 10.691
_cell_length_c 11.825
_cell_angle_alpha 90.00
_cell_angle_beta 99.98
_cell_angle_gamma 90.00
_symmetry_space_group_name_H-M 'C 1 2/m 1'
_symmetry_Int_Tables_number 12
_symmetry_space_group_name_Hall '-C 2y'
loop_
_atom_site_label
_atom_site_fract_x
_atom_site_fract_y
_atom_site_fract_z
Tb1 0.247 0.000 0.246
Tb2 0.249 0.334 0.246
Pr1 0.000 0.333 0.500
Er1 0.000 0.166 0.000
Er2 0.000 0.500 0.000
Tm1 0.000 0.000 0.500
```

Properties
formation energy from the elements	18.3	meV/atom
Fermi-level density of states	30.5	states/eV per cell
magnetic moment	0.00	μB/atom


[6]
Material: Tb2PrErTm6
Method: DFT, GGA-PBE
State: relaxed

Structure (CIF):
```
data_Tb2PrErTm6
_cell_length_a 8.999
_cell_length_b 14.949
_cell_length_c 9.445
_cell_angle_alpha 90.00
_cell_angle_beta 96.90
_cell_angle_gamma 90.00
_symmetry_space_group_name_H-M 'C 1 2/c 1'
_symmetry_Int_Tables_number 15
_symmetry_space_group_name_Hall '-C 2yc'
loop_
_atom_site_label
_atom_site_fract_x
_atom_site_fract_y
_atom_site_fract_z
Tb1 0.248 0.054 0.453
Pr1 0.000 0.475 0.250
Er1 0.000 0.090 0.750
Tm1 0.063 0.311 0.942
Tm2 0.100 0.109 0.117
Tm3 0.207 0.274 0.317
```

Properties
formation energy from the elements	121.9	meV/atom
Fermi-level density of states	57.2	states/eV per cell
magnetic moment	0.00	μB/atom


[7]
Material: Tb2PrErTm
Method: DFT, GGA-PBE
State: relaxed

Structure (CIF):
```
data_Tb2PrErTm
_cell_length_a 8.394
_cell_length_b 11.485
_cell_length_c 7.212
_cell_angle_alpha 90.00
_cell_angle_beta 90.00
_cell_angle_gamma 90.00
_symmetry_space_group_name_H-M 'C m c m'
_symmetry_Int_Tables_number 63
_symmetry_space_group_name_Hall '-C 2c 2'
loop_
_atom_site_label
_atom_site_fract_x
_atom_site_fract_y
_atom_site_fract_z
Tb1 0.191 0.000 0.000
Pr1 0.000 0.230 0.250
Er1 0.000 0.499 0.750
Tm1 0.000 0.222 0.750
```

Properties
formation energy from the elements	382.8	meV/atom
Fermi-level density of states	27.6	states/eV per cell
magnetic moment	0.00	μB/atom


[8]
Material: Tb2PrEr2Tm2
Method: DFT, GGA-PBE
State: relaxed

Structure (CIF):
```
data_Tb2PrEr2Tm2
_cell_length_a 17.551
_cell_length_b 3.484
_cell_length_c 8.357
_cell_angle_alpha 90.00
_cell_angle_beta 116.89
_cell_angle_gamma 90.00
_symmetry_space_group_name_H-M 'C 1 2/m 1'
_symmetry_Int_Tables_number 12
_symmetry_space_group_name_Hall '-C 2y'
loop_
_atom_site_label
_atom_site_fract_x
_atom_site_fract_y
_atom_site_fract_z
Tb1 0.072 0.000 0.413
Pr1 0.000 0.500 0.000
Er1 0.150 0.000 0.893
Tm1 0.212 0.500 0.298
```

Properties
formation energy from the elements	148.9	meV/atom
Fermi-level density of states	22.5	states/eV per cell
magnetic moment	0.00	μB/atom


[9]
Material: TbPr3YEr
Method: DFT, GGA-PBE
State: relaxed

Structure (CIF):
```
data_TbPr3YEr
_cell_length_a 5.138
_cell_length_b 15.427
_cell_length_c 10.267
_cell_angle_alpha 90.00
_cell_angle_beta 90.00
_cell_angle_gamma 90.00
_symmetry_space_group_name_H-M 'C m c m'
_symmetry_Int_Tables_number 63
_symmetry_space_group_name_Hall '-C 2c 2'
loop_
_atom_site_label
_atom_site_fract_x
_atom_site_fract_y
_atom_site_fract_z
Tb1 0.000 0.000 0.000
Pr1 0.000 0.165 0.250
Pr2 0.000 0.335 0.000
Y1 0.000 0.165 0.750
Er1 0.000 0.499 0.250
```

Properties
formation energy from the elements	21.1	meV/atom
Fermi-level density of states	36.2	states/eV per cell
magnetic moment	0.00	μB/atom


[10]
Material: TbPr2Y6Er
Method: DFT, GGA-PBE
State: relaxed

Structure (CIF):
```
data_TbPr2Y6Er
_cell_length_a 9.097
_cell_length_b 15.060
_cell_length_c 9.827
_cell_angle_alpha 90.00
_cell_angle_beta 99.95
_cell_angle_gamma 90.00
_symmetry_space_group_name_H-M 'C 1 2/c 1'
_symmetry_Int_Tables_number 15
_symmetry_space_group_name_Hall '-C 2yc'
loop_
_atom_site_label
_atom_site_fract_x
_atom_site_fract_y
_atom_site_fract_z
Tb1 0.000 0.017 0.250
Pr1 0.243 0.050 0.544
Y1 0.067 0.189 0.943
Y2 0.100 0.396 0.118
Y3 0.203 0.222 0.313
Er1 0.000 0.406 0.750
```

Properties
formation energy from the elements	111.7	meV/atom
Fermi-level density of states	57.5	states/eV per cell
magnetic moment	0.00	μB/atom


[11]
Material: Tb5Pr2YEr
Method: DFT, GGA-PBE
State: relaxed

Structure (CIF):
```
data_Tb5Pr2YEr
_cell_length_a 8.627
_cell_length_b 8.627
_cell_length_c 16.002
_cell_angle_alpha 90.00
_cell_angle_beta 90.00
_cell_angle_gamma 90.00
_symmetry_space_group_name_H-M 'I 4/m c m'
_symmetry_Int_Tables_number 140
_symmetry_space_group_name_Hall '-I 4 2c'
loop_
_atom_site_label
_atom_site_fract_x
_atom_site_fract_y
_atom_site_fract_z
Tb1 0.000 0.000 0.000
Tb2 0.215 0.285 0.142
Pr1 0.119 0.381 0.500
Y1 0.000 0.000 0.250
Er1 0.000 0.500 0.250
```

Properties
formation energy from the elements	269.2	meV/atom
Fermi-level density of states	49.9	states/eV per cell
magnetic moment	0.00	μB/atom


[12]
Material: TbPrYEr2
Method: DFT, GGA-PBE
State: relaxed

Structure (CIF):
```
data_TbPrYEr2
_cell_length_a 8.375
_cell_length_b 11.521
_cell_length_c 7.205
_cell_angle_alpha 90.00
_cell_angle_beta 90.00
_cell_angle_gamma 90.00
_symmetry_space_group_name_H-M 'C m c m'
_symmetry_Int_Tables_number 63
_symmetry_space_group_name_Hall '-C 2c 2'
loop_
_atom_site_label
_atom_site_fract_x
_atom_site_fract_y
_atom_site_fract_z
Tb1 0.000 0.010 0.250
Pr1 0.000 0.278 0.250
Y1 0.000 0.272 0.750
Er1 0.189 0.500 0.000
```

Properties
formation energy from the elements	370.2	meV/atom
Fermi-level density of states	29.0	states/eV per cell
magnetic moment	0.00	μB/atom